VASP calculation (PBE) on crystalline BaLi2Ir at its relaxed geometry.

Unit cell a=4.5944 b=5.6598 c=7.3352 alpha=90.00 beta=90.00 gamma=90.00
Space group Imm2 (No. 44)
Symmetry-distinct sites (fractional):
Ba 0.0000 0.0000 0.0000 [2 per cell]
Li 0.0000 0.0000 0.5418 [2 per cell]
Li 0.0000 0.5000 0.8340 [2 per cell]
Ir 0.0000 0.5000 0.1982 [2 per cell]

The calculation puts the calculated formation energy at 0.155 eV per atom. Its energy relative to the lowest polymorph listed for this composition is 124.8 meV/atom. The value obtained for the density of states at the Fermi level is 5.47 states/eV/cell. The total energy is -3.498 eV/atom.